Record 1
# La6Ge2PS3 GGA-PBE optimized geometry
# E_form (uncorrected) = -1.642 eV/atom
# Size of the total moment = 0.0000 μB per atom
data_La6Ge2PS3
_space_group_name_H-M_alt 'C 1 2/m 1'
_space_group_IT_number 12
_cell_length_a 18.6244
_cell_length_b 4.2995
_cell_length_c 8.5374
_cell_angle_alpha 90.00
_cell_angle_beta 102.74
_cell_angle_gamma 90.00
loop_
_space_group_symop_operation_xyz
'x,y,z'
'-x,-y,-z'
'-x,y,-z'
'x,-y,z'
'x+1/2,y+1/2,z'
'-x+1/2,-y+1/2,-z'
'-x+1/2,y+1/2,-z'
'x+1/2,-y+1/2,z'
loop_
_atom_site_label
_atom_site_type_symbol
_atom_site_fract_x
_atom_site_fract_y
_atom_site_fract_z
La1 La 0.0002 0.0000 0.2454
La2 La 0.1652 0.5000 0.0815
La3 La 0.1659 0.5000 0.5836
Ge1 Ge 0.1657 0.0000 0.3310
P1 P 0.0000 0.5000 0.0000
S1 S 0.0000 0.5000 0.5000
S2 S 0.1660 0.0000 0.8337

Record 2
# CsThSn GGA-PBE optimized geometry
# E_form = 0.37 eV/atom
# Size of the total moment = 0.0001 μB per atom
data_CsThSn
_space_group_name_H-M_alt 'C 1 2/m 1'
_space_group_IT_number 12
_cell_length_a 10.5134
_cell_length_b 6.1005
_cell_length_c 7.6104
_cell_angle_alpha 90.00
_cell_angle_beta 115.97
_cell_angle_gamma 90.00
loop_
_space_group_symop_operation_xyz
'x,y,z'
'-x,-y,-z'
'-x,y,-z'
'x,-y,z'
'x+1/2,y+1/2,z'
'-x+1/2,-y+1/2,-z'
'-x+1/2,y+1/2,-z'
'x+1/2,-y+1/2,z'
loop_
_atom_site_label
_atom_site_type_symbol
_atom_site_fract_x
_atom_site_fract_y
_atom_site_fract_z
Cs1 Cs 0.0885 0.0000 0.2646
Th1 Th 0.0861 0.5000 0.7605
Sn1 Sn 0.2397 0.5000 0.2175

Record 3
# La4ThAu5 GGA-PBE optimized geometry
# E_form = -0.73 eV/atom
# Size of the total moment = 0.0000 μB per atom
data_La4ThAu5
_space_group_name_H-M_alt 'P 4/m m m'
_space_group_IT_number 123
_space_group_name_Hall '-P 4 2'
_cell_length_a 3.7478
_cell_length_b 3.7478
_cell_length_c 19.0257
_cell_angle_alpha 90.00
_cell_angle_beta 90.00
_cell_angle_gamma 90.00
loop_
_atom_site_label
_atom_site_type_symbol
_atom_site_fract_x
_atom_site_fract_y
_atom_site_fract_z
La1 La 0.0000 0.0000 0.1009
La2 La 0.0000 0.0000 0.3018
Th1 Th 0.0000 0.0000 0.5000
Au1 Au 0.5000 0.5000 0.0000
Au2 Au 0.5000 0.5000 0.2002
Au3 Au 0.5000 0.5000 0.4038

Record 4
# BaCdSnRh GGA-PBE optimized geometry
# E_form = -0.40 eV/atom
# Size of the total moment = 0.0000 μB per atom
data_BaCdSnRh
_space_group_name_H-M_alt 'R 3 m'
_space_group_IT_number 160
_space_group_name_Hall 'R 3 -2"'
_cell_length_a 4.6932
_cell_length_b 4.6932
_cell_length_c 17.9029
_cell_angle_alpha 90.00
_cell_angle_beta 90.00
_cell_angle_gamma 120.00
loop_
_atom_site_label
_atom_site_type_symbol
_atom_site_fract_x
_atom_site_fract_y
_atom_site_fract_z
Ba1 Ba 0.0000 0.0000 0.0000
Cd1 Cd 0.0000 0.0000 0.7978
Sn1 Sn 0.0000 0.0000 0.5388
Rh1 Rh 0.0000 0.0000 0.1814

Computed values of E_tot (unit: eV/atom) for the preceding records, in sequence: -6.36 -3.73 -5.08 -3.95.